# 1
The following is a PBE-GGA calculation of a relaxed MgZrAlIr crystal, from OQMD.

```
data_MgZrAlIr
_space_group_name_H-M_alt 'F -4 3 m'
_space_group_IT_number 216
_space_group_name_Hall 'F -4 2 3'
_cell_length_a 6.455
_cell_length_b 6.455
_cell_length_c 6.455
_cell_angle_alpha 90.00
_cell_angle_beta 90.00
_cell_angle_gamma 90.00
loop_
_atom_site_label
_atom_site_type_symbol
_atom_site_fract_x
_atom_site_fract_y
_atom_site_fract_z
_atom_site_occupancy
Mg1 Mg 0.000 0.000 0.000 1
Zr1 Zr 0.250 0.250 0.750 1
Al1 Al 0.000 0.000 0.500 1
Ir1 Ir 0.250 0.250 0.250 1
```

excess energy over the best structure of this formula in the dataset: 278 meV/atom
density: 8.3 g/cm³
DFT total energy: -6.041 eV/atom

---

# 2
The following is a PBE-GGA calculation of a relaxed PmNdAsO crystal, from OQMD.

```
data_PmNdAsO
_space_group_name_H-M_alt 'P m c 21'
_space_group_IT_number 26
_cell_length_a 4.273
_cell_length_b 7.998
_cell_length_c 6.004
_cell_angle_alpha 90.00
_cell_angle_beta 90.00
_cell_angle_gamma 90.00
loop_
_space_group_symop_operation_xyz
'x,y,z'
'-x,-y,z+1/2'
'-x,y,z'
'x,-y,z+1/2'
loop_
_atom_site_label
_atom_site_type_symbol
_atom_site_fract_x
_atom_site_fract_y
_atom_site_fract_z
_atom_site_occupancy
Pm1 Pm 0.000 0.204 0.000 1
Nd1 Nd 0.500 0.385 0.562 1
As1 As 0.000 0.156 0.496 1
O1 O 0.500 0.325 0.945 1
```

excess energy over the best structure of this formula in the dataset: 11 meV/atom
density: 6.2 g/cm³
DFT total energy: -6.685 eV/atom